Entry 1:
Density functional theory data (PBE) for a geometry-optimized YCoSi2 structure.

* SG: No. 123
* total magnetization: 0.00 μB/cell
* raw formation energy: -0.213 eV per atom

Cell lengths 3.9416, 3.9416, 4.1094 Å; angles 90.00, 90.00, 90.00 degrees
Sites, in units of the cell vectors:
Y (0.0000, 0.0000, 0.0000)
Co (0.5000, 0.5000, 0.0000)
Si (0.0000, 0.5000, 0.5000)
Si (0.5000, 0.0000, 0.5000)

=====

Entry 2:
Density functional theory data (PBE) for a geometry-optimized Y2CoSi structure.

* SG: No. 65
* total magnetization: 0.90 μB/cell
* raw formation energy: -0.340 eV per atom

Cell lengths 4.8092, 4.8092, 3.5621 Å; angles 90.00, 90.00, 90.06 degrees
Sites, in units of the cell vectors:
Y (0.0000, 0.5000, 0.0000)
Y (0.5000, 0.0000, 0.0000)
Co (0.0000, 0.0000, 0.5000)
Si (0.5000, 0.5000, 0.5000)

=====

Entry 3:
Density functional theory data (PBE) for a geometry-optimized YCoSi4 structure.

* SG: No. 216
* total magnetization: 1.87 μB/cell
* raw formation energy: 0.089 eV per atom

Cell lengths 5.1143, 5.1143, 5.1143 Å; angles 60.00, 60.00, 60.00 degrees
Sites, in units of the cell vectors:
Y (0.0000, 0.0000, 0.0000)
Co (0.7500, 0.7500, 0.7500)
Si (0.3771, 0.3771, 0.3771)
Si (0.3771, 0.3771, 0.8686)
Si (0.3771, 0.8686, 0.3771)
Si (0.8686, 0.3771, 0.3771)

=====

Entry 4:
Density functional theory data (PBE) for a geometry-optimized Y2CoSi structure.

* SG: No. 6
* total magnetization: 0.00 μB/cell
* raw formation energy: -0.537 eV per atom

Cell lengths 4.0970, 3.9594, 5.5968 Å; angles 90.00, 111.42, 90.00 degrees
Sites, in units of the cell vectors:
Y (0.0000, 0.0000, 0.0000)
Y (0.2815, 0.5000, 0.5642)
Co (0.7063, 0.0000, 0.4161)
Si (0.5799, 0.5000, 0.1595)